1.
Ca2SnGe4Pd3 | PBE-GGA | relaxed

abc: 4.2628 4.2628 11.1895
angles: 90.00 90.00 90.00
Last column: nearest neighbours and their distance in Å.
Space group P-4m2 (No. 115)
Symmetry-distinct sites (fractional):
Ca 0.0000 0.5000 0.2386 x2  8 Ge 3.24-3.42, 6 Pd 3.26-3.62, 2 Sn 3.62
Sn 0.0000 0.0000 0.5000 x1  4 Ge 2.75, 4 Pd 3.01
Ge 0.0000 0.0000 0.0000 x1  4 Pd 2.56
Ge 0.0000 0.5000 0.6546 x2  1 Pd 2.45
Ge 0.5000 0.5000 0.0000 x1  4 Pd 2.56
Pd 0.0000 0.5000 0.8735 x2  5 Ge 2.45-2.56
Pd 0.5000 0.5000 0.5000 x1  4 Ge 2.75, 4 Sn 3.01

=====

2.
Ca3SnGe2Pd9 | PBE-GGA | relaxed

abc: 6.4979 6.4979 9.2113
angles: 90.00 90.00 120.00
Last column: nearest neighbours and their distance in Å.
Space group P-3m1 (No. 164)
Symmetry-distinct sites (fractional):
Ca 0.0000 0.0000 0.0000 x1  12 Pd 2.94-3.25
Ca 0.3333 0.6667 0.7220 x2  9 Pd 3.17-3.26
Sn 0.0000 0.0000 0.5000 x1  6 Pd 2.65
Ge 0.3333 0.6667 0.1722 x2  6 Pd 2.34-2.46
Pd 0.0000 0.5000 0.0000 x3  2 Ge 2.46
Pd 0.1407 0.2814 0.2690 x6  1 Ge 2.34

=====

3.
Sr2Ca2GePd4 | PBE-GGA | relaxed

abc: 7.0935 7.0935 8.8769
angles: 90.00 90.00 90.00
Last column: nearest neighbours and their distance in Å.
Space group I4/mmm (No. 139)
Symmetry-distinct sites (fractional):
Sr 0.0000 0.5000 0.2500 x4  8 Pd 3.35, 4 Ca 3.60
Ca 0.0000 0.0000 0.1791 x4  1 Ge 2.85, 4 Pd 2.98, 1 Ca 3.18
Ge 0.0000 0.0000 0.5000 x2  4 Pd 2.49
Pd 0.2484 0.2484 0.5000 x8  1 Ge 2.49

=====

4.
SrCaGePd | PBE-GGA | relaxed

abc: 7.3902 7.3902 7.3902
angles: 90.00 90.00 90.00
Last column: nearest neighbours and their distance in Å.
Space group F-43m (No. 216)
Symmetry-distinct sites (fractional):
Sr 0.0000 0.0000 0.0000 x4  4 Pd 3.20, 4 Ge 3.20
Ca 0.0000 0.0000 0.5000 x4  4 Ge 3.20, 4 Pd 3.20
Ge 0.2500 0.2500 0.7500 x4  4 Ca 3.20, 4 Sr 3.20
Pd 0.2500 0.2500 0.2500 x4  4 Ca 3.20, 4 Sr 3.20

=====

5.
Ca2TbGe3Pd4 | PBE-GGA | relaxed

abc: 4.2614 4.2614 11.3616
angles: 90.00 90.00 90.00
Last column: nearest neighbours and their distance in Å.
Space group P-4m2 (No. 115)
Symmetry-distinct sites (fractional):
Ca 0.0000 0.5000 0.2253 x2  4 Ge 3.23, 8 Pd 3.28-3.33
Tb 0.0000 0.0000 0.5000 x1  4 Pd 2.81, 4 Ge 3.01
Ge 0.0000 0.5000 0.8767 x2  5 Pd 2.45-2.55
Ge 0.5000 0.5000 0.5000 x1  4 Pd 2.81, 4 Tb 3.01
Pd 0.0000 0.0000 0.0000 x1  4 Ge 2.55
Pd 0.0000 0.5000 0.6608 x2  1 Ge 2.45
Pd 0.5000 0.5000 0.0000 x1  4 Ge 2.55

=====

6.
CaTbGe2Pd5 | PBE-GGA | relaxed

abc: 4.2931 4.2931 8.9202
angles: 90.00 90.00 90.00
Last column: nearest neighbours and their distance in Å.
Space group P4/mmm (No. 123)
Symmetry-distinct sites (fractional):
Ca 0.0000 0.0000 0.0000 x1  12 Pd 2.96-3.04
Tb 0.0000 0.0000 0.5000 x1  8 Pd 3.24, 8 Ge 3.28
Ge 0.5000 0.5000 0.3616 x2  4 Pd 2.46, 1 Ge 2.47
Pd 0.0000 0.5000 0.2278 x4  2 Ge 2.46
Pd 0.5000 0.5000 0.0000 x1  8 Pd 2.96, 4 Ca 3.04, 2 Ge 3.23

=====

7.
CaTbGePd | PBE-GGA | relaxed

abc: 7.1122 7.1122 7.1122
angles: 90.00 90.00 90.00
Last column: nearest neighbours and their distance in Å.
Space group F-43m (No. 216)
Symmetry-distinct sites (fractional):
Ca 0.0000 0.0000 0.0000 x4  4 Pd 3.08, 4 Ge 3.08
Tb 0.0000 0.0000 0.5000 x4  4 Ge 3.08, 4 Pd 3.08
Ge 0.2500 0.2500 0.7500 x4  4 Tb 3.08, 4 Ca 3.08
Pd 0.2500 0.2500 0.2500 x4  4 Tb 3.08, 4 Ca 3.08

=====

8.
CaThGe2Pd5 | PBE-GGA | relaxed

abc: 4.3694 4.3694 8.7648
angles: 90.00 90.00 90.00
Last column: nearest neighbours and their distance in Å.
Space group P4/mmm (No. 123)
Symmetry-distinct sites (fractional):
Ca 0.0000 0.0000 0.0000 x1  12 Pd 2.95-3.09
Th 0.0000 0.0000 0.5000 x1  8 Pd 3.25, 8 Ge 3.33
Ge 0.5000 0.5000 0.3588 x2  1 Ge 2.48, 4 Pd 2.48
Pd 0.0000 0.5000 0.2257 x4  2 Ge 2.48
Pd 0.5000 0.5000 0.0000 x1  8 Pd 2.95, 4 Ca 3.09, 2 Ge 3.14

=====

9.
Ca2TmGe3Pd4 | PBE-GGA | relaxed

abc: 4.2300 4.2300 11.3569
angles: 90.00 90.00 90.00
Last column: nearest neighbours and their distance in Å.
Space group P-4m2 (No. 115)
Symmetry-distinct sites (fractional):
Ca 0.0000 0.5000 0.2280 x2  4 Ge 3.21, 8 Pd 3.26-3.34
Tm 0.0000 0.0000 0.5000 x1  4 Pd 2.77, 4 Ge 2.99
Ge 0.0000 0.5000 0.8747 x2  5 Pd 2.46-2.55
Ge 0.5000 0.5000 0.5000 x1  4 Pd 2.77, 4 Tm 2.99
Pd 0.0000 0.0000 0.0000 x1  4 Ge 2.55
Pd 0.0000 0.5000 0.6578 x2  1 Ge 2.46
Pd 0.5000 0.5000 0.0000 x1  4 Ge 2.55

=====

10.
CaGePdW2 | PBE-GGA | relaxed

abc: 4.7845 4.7845 4.6705
angles: 90.00 90.00 90.00
Last column: nearest neighbours and their distance in Å.
Space group P4/mmm (No. 123)
Symmetry-distinct sites (fractional):
Ca 0.0000 0.0000 0.0000 x1  2 Pd 2.34, 4 W 2.39
Ge 0.5000 0.5000 0.5000 x1  8 W 3.34, 4 Pd 3.38
Pd 0.0000 0.0000 0.5000 x1  2 Ca 2.34
W 0.0000 0.5000 0.0000 x2  2 Ca 2.39

=====

11.
CaYGePd | PBE-GGA | relaxed

abc: 7.1059 7.1059 7.1059
angles: 90.00 90.00 90.00
Last column: nearest neighbours and their distance in Å.
Space group F-43m (No. 216)
Symmetry-distinct sites (fractional):
Ca 0.0000 0.0000 0.0000 x4  4 Ge 3.08, 4 Pd 3.08
Y 0.0000 0.0000 0.5000 x4  4 Ge 3.08, 4 Pd 3.08
Ge 0.2500 0.2500 0.7500 x4  4 Ca 3.08, 4 Y 3.08
Pd 0.2500 0.2500 0.2500 x4  4 Y 3.08, 4 Ca 3.08

=====

12.
CaZn2GePd4 | PBE-GGA | relaxed

abc: 4.5155 4.5155 22.2534
angles: 90.00 90.00 120.00
Last column: nearest neighbours and their distance in Å.
Space group R-3m (No. 166, hexagonal axes)
Symmetry-distinct sites (fractional):
Ca 0.0000 0.0000 0.0000 x3  8 Pd 2.90-2.98, 6 Zn 3.13
Zn 0.0000 0.0000 0.2554 x6  7 Pd 2.65-2.89
Ge 0.0000 0.0000 0.5000 x3  8 Pd 2.45-2.71
Pd 0.0000 0.0000 0.1340 x6  4 Zn 2.70-2.89, 3 Ge 2.71, 1 Ca 2.98, 3 Pd 2.99
Pd 0.0000 0.0000 0.3899 x6  1 Ge 2.45, 3 Zn 2.65

=====

13.
CaZnGePd3 | PBE-GGA | relaxed

abc: 5.6723 15.8970 5.6904
angles: 90.00 90.00 90.00
Last column: nearest neighbours and their distance in Å.
Space group Cmcm (No. 63)
Symmetry-distinct sites (fractional):
Ca 0.0000 0.1984 0.2500 x4  4 Pd 2.91-3.01, 2 Zn 3.22
Zn 0.0000 0.1040 0.7500 x4  5 Pd 2.47-2.58
Ge 0.0000 0.4116 0.7500 x4  5 Pd 2.42-2.47
Pd 0.0000 0.2595 0.7500 x4  1 Ge 2.42, 1 Zn 2.47
Pd 0.2438 0.0000 0.0000 x8  2 Ge 2.47, 2 Zn 2.58, 1 Pd 2.77

=====

14.
Ca2Zn3Ge4Pd | PBE-GGA | relaxed

abc: 4.2968 4.2968 10.6316
angles: 90.00 90.00 90.00
Last column: nearest neighbours and their distance in Å.
Space group P-4m2 (No. 115)
Symmetry-distinct sites (fractional):
Ca 0.0000 0.5000 0.2423 x2  8 Ge 3.26-3.48, 6 Zn 3.29-3.35, 2 Pd 3.35
Zn 0.0000 0.0000 0.0000 x1  4 Ge 2.56
Zn 0.0000 0.5000 0.6380 x2  5 Ge 2.45-2.60
Ge 0.0000 0.0000 0.5000 x1  4 Zn 2.60
Ge 0.0000 0.5000 0.8683 x2  3 Zn 2.45-2.56, 2 Pd 2.56
Ge 0.5000 0.5000 0.5000 x1  4 Zn 2.60
Pd 0.5000 0.5000 0.0000 x1  4 Ge 2.56

=====

15.
CaZnGe2Pd | PBE-GGA | relaxed

abc: 4.2123 4.2123 10.7679
angles: 90.00 90.00 90.00
Last column: nearest neighbours and their distance in Å.
Space group I-4m2 (No. 119)
Symmetry-distinct sites (fractional):
Ca 0.0000 0.0000 0.0000 x2  8 Ge 3.23, 4 Pd 3.42, 4 Zn 3.42
Zn 0.0000 0.5000 0.7500 x2  4 Ge 2.56
Ge 0.0000 0.0000 0.3848 x4  1 Ge 2.48, 2 Pd 2.56, 2 Zn 2.56
Pd 0.0000 0.5000 0.2500 x2  4 Ge 2.56

=====

16.
Ca2ZnGePd6 | PBE-GGA | relaxed

abc: 9.4214 9.4214 9.4214
angles: 90.00 90.00 90.00
Last column: nearest neighbours and their distance in Å.
Space group Fm-3m (No. 225)
Symmetry-distinct sites (fractional):
Ca 0.2500 0.2500 0.2500 x8  12 Pd 3.33
Zn 0.0000 0.0000 0.0000 x4  6 Pd 2.37
Ge 0.0000 0.0000 0.5000 x4  6 Pd 2.34
Pd 0.0000 0.0000 0.2520 x24  1 Ge 2.34, 1 Zn 2.37

=====

17.
CaZnGe2Pd4 | PBE-GGA | relaxed

abc: 4.3342 4.3342 25.7920
angles: 90.00 90.00 120.00
Last column: nearest neighbours and their distance in Å.
Space group R-3m (No. 166, hexagonal axes)
Symmetry-distinct sites (fractional):
Ca 0.0000 0.0000 0.0000 x3  8 Pd 3.08-3.45, 6 Ge 3.37
Zn 0.0000 0.0000 0.5000 x3  8 Pd 2.50-2.64
Ge 0.0000 0.0000 0.2459 x6  6 Pd 2.54-2.77
Pd 0.0000 0.0000 0.1336 x6  3 Zn 2.64, 4 Ge 2.77-2.90
Pd 0.0000 0.0000 0.4032 x6  1 Zn 2.50, 3 Ge 2.54

=====

18.
Ca2ZnGe2Pd5 | PBE-GGA | relaxed

abc: 10.1833 10.1833 3.4805
angles: 90.00 90.00 90.00
Last column: nearest neighbours and their distance in Å.
Space group P4/mbm (No. 127)
Symmetry-distinct sites (fractional):
Ca 0.1730 0.3270 0.0000 x4  3 Ge 2.86-3.10, 2 Pd 3.04
Zn 0.0000 0.0000 0.0000 x2  8 Pd 2.73
Ge 0.1287 0.6287 0.0000 x4  6 Pd 2.54-2.57
Pd 0.0000 0.5000 0.5000 x2  4 Ge 2.54
Pd 0.0581 0.8012 0.5000 x8  2 Ge 2.57, 2 Zn 2.73

=====

19.
Ca2ZnGe3Pd4 | PBE-GGA | relaxed

abc: 4.2435 4.2435 10.6004
angles: 90.00 90.00 90.00
Last column: nearest neighbours and their distance in Å.
Space group P-4m2 (No. 115)
Symmetry-distinct sites (fractional):
Ca 0.0000 0.5000 0.2494 x2  8 Pd 3.23-3.40, 6 Ge 3.26-3.39, 2 Zn 3.39
Zn 0.5000 0.5000 0.0000 x1  4 Pd 2.57
Ge 0.0000 0.0000 0.0000 x1  4 Pd 2.57
Ge 0.0000 0.5000 0.6311 x2  5 Pd 2.47-2.54
Pd 0.0000 0.0000 0.5000 x1  4 Ge 2.54
Pd 0.0000 0.5000 0.8638 x2  3 Ge 2.47-2.57, 2 Zn 2.57
Pd 0.5000 0.5000 0.5000 x1  4 Ge 2.54

=====

20.
CaZn2Ge2Pd | PBE-GGA | relaxed

abc: 5.3965 10.8198 4.4133
angles: 90.00 90.00 90.00
Last column: nearest neighbours and their distance in Å.
Space group Pnnm (No. 58)
Symmetry-distinct sites (fractional):
Ca 0.0000 0.0000 0.0000 x2  2 Ge 3.03, 4 Zn 3.05
Zn 0.0005 0.3691 0.5000 x4  3 Ge 2.53-2.55, 2 Pd 2.62
Ge 0.1234 0.2734 0.0000 x4  3 Zn 2.53-2.55, 1 Pd 2.54
Pd 0.0000 0.5000 0.0000 x2  2 Ge 2.54, 4 Zn 2.62

=====

Calculated formation energy from the elements in order - -551; -709; -415; -194; -729; -631; -278; -637; -743; 1286; -281; -401; -258; -399; -260; -330; -416; -601; -659; -130 kJ/mol of formula units
Calculated E_tot in order - -4.776; -4.889; -4.118; -3.877; -5.082; -5.374; -4.832; -5.692; -5.080; -4.879; -5.297; -4.261; -4.358; -3.562; -4.080; -4.447; -4.699; -4.670; -4.673; -3.387 eV per atom
Calculated total magnetic moment in order - 0.0; 0.0; 0.0; 0.0; 0.0; 0.0; 0.0; 0.0; 0.0; 0.0; 0.0; 0.0; 0.0; 0.0; 0.0; 0.0; 0.0; 0.0; 0.0; 0.0 μB/cell